Entry from Alexandria: crystalline TmMgScOs at its relaxed geometry (PBE).

a b c (Å): 3.3392 3.3392 7.7730
angles (deg): 90.00 90.00 90.00
Last column: nearest neighbours and their distance in Å.
Element x y z (fractional)
Tm1 0.0000 0.0000 0.0000  4 Os 2.90, 1 Sc 3.14
Mg1 0.5000 0.5000 0.3155  4 Sc 3.21, 4 Mg 3.34, 4 Tm 3.40
Sc1 0.0000 0.0000 0.5960  4 Os 2.78
Os1 0.5000 0.5000 0.7838  4 Sc 2.78, 4 Tm 2.90

Values from the calculation:
Energy relative to the elements   -296 meV/atom
SG   P4mm, No. 99

=====

Entry from Alexandria: crystalline TmMgScOs at its relaxed geometry (PBE).

a b c (Å): 4.8277 4.8277 4.8277
angles (deg): 60.00 60.00 60.00
Last column: nearest neighbours and their distance in Å.
Element x y z (fractional)
Tm1 0.0000 0.0000 0.0000  4 Mg 2.96, 4 Os 2.96
Mg1 0.7500 0.7500 0.7500  4 Sc 2.96, 4 Tm 2.96
Sc1 0.5000 0.5000 0.5000  4 Os 2.96, 4 Mg 2.96
Os1 0.2500 0.2500 0.2500  4 Sc 2.96, 4 Tm 2.96

Values from the calculation:
Energy relative to the elements   -220 meV/atom
SG   F-43m, No. 216

=====

Entry from Alexandria: crystalline YMgScOs at its relaxed geometry (PBE).

a b c (Å): 3.3673 3.3673 7.8016
angles (deg): 90.00 90.00 90.00
Last column: nearest neighbours and their distance in Å.
Element x y z (fractional)
Y1 0.0000 0.0000 0.0000  4 Os 2.95, 1 Sc 3.17
Mg1 0.5000 0.5000 0.3184  4 Sc 3.21, 4 Mg 3.37, 4 Y 3.44, 1 Os 3.57
Sc1 0.0000 0.0000 0.5934  4 Os 2.78
Os1 0.5000 0.5000 0.7761  4 Sc 2.78, 4 Y 2.95

Values from the calculation:
Energy relative to the elements   -252 meV/atom
SG   P4mm, No. 99

=====

Number 1: total magnetic moment 0.0 μB per formula unit, N(E_F) 1.72 states/eV per cell, energy relative to the lowest polymorph listed for this composition 0 meV per atom. Number 2: total magnetic moment 0.0 μB per formula unit, N(E_F) 3.81 states/eV per cell, energy relative to the lowest polymorph listed for this composition 76 meV per atom. Number 3: total magnetic moment 0.0 μB per formula unit, N(E_F) 2.08 states/eV per cell, energy relative to the lowest polymorph listed for this composition 0 meV per atom.